(1)
Density functional theory data (PBE) for a relaxed Sr2MnSbN crystal.

a = 5.5283 Å, b = 5.5283 Å, c = 3.9615 Å
α = 90.00°, β = 90.00°, γ = 90.00°
Space group P4/mmm (No. 123)
Unique sites:
Sr  0.0000  0.5000  0.0000 x2
Mn  0.0000  0.0000  0.5000 x1
Sb  0.5000  0.5000  0.5000 x1
N  0.0000  0.0000  0.0000 x1

The calculation puts the relative energy among the computed polymorphs at 0.000 eV per atom. The magnetic moment comes out at 0.909 μB per atom. The uncorrected energy comes out at -5.596 eV/atom. Its uncorrected formation energy is -599 meV/atom.

(2)
Density functional theory data (PBE) for a relaxed Sr2MnSbN crystal.

a = 6.0731 Å, b = 6.0731 Å, c = 3.6092 Å
α = 90.00°, β = 90.00°, γ = 90.00°
Space group P4/mmm (No. 123)
Unique sites:
Sr  0.0000  0.5000  0.0000 x2
Mn  0.0000  0.0000  0.0000 x1
Sb  0.5000  0.5000  0.5000 x1
N  0.0000  0.0000  0.5000 x1

The calculation puts the relative energy among the computed polymorphs at 0.341 eV per atom. The magnetic moment comes out at 0.473 μB per atom. The uncorrected energy comes out at -5.255 eV/atom. Its uncorrected formation energy is -259 meV/atom.

Question: relative energy among the computed polymorphs of number 2 (Sr2MnSbN)?
Answer: 0.341 eV per atom